The following is a DFT calculation (PBEsol) of Cr2Mo2Pt after structural relaxation.

Lattice parameters (Å, degrees): 3.9418 3.9418 5.5292 110.88 110.88 90.00
With the nearest neighbours (Å) after each atom.
Atoms (fractional coordinates):
Pt1 0.0000 0.0000 0.0000  8 Cr 2.98, 8 Mo 3.10
Mo1 0.2500 0.7500 0.5000  4 Cr 2.39
Mo2 0.7500 0.2500 0.5000  4 Cr 2.39
Cr1 0.6092 0.6092 0.2183  1 Cr 2.09
Cr2 0.3908 0.3908 0.7817  1 Cr 2.09

Computed properties:
* ΔH_f (0 K): 3.50 eV per formula unit
* space-group type: I4/mmm, No. 139
* DOS at the Fermi energy: 5.0 states/eV per cell
* VASP energy: -9.497 eV/atom